# 1
The following is a meta-GGA SCAN calculation of CdSb2Se at its PBEsol-relaxed geometry, from Alexandria.

Cell lengths 4.239, 4.239, 5.812 Å; angles 90.00, 90.00, 90.00 degrees
Element x y z (fractional)
1 Cd 0.000 0.000 0.000
2 Sb 0.000 0.000 0.506
3 Sb 0.500 0.500 0.478
4 Se 0.500 0.500 0.021

Calculated values
Energy relative to the elements, uncorrected, eV per atom: -0.183
Offset from the most stable computed form, meV per atom: 0.0

---

# 2
The following is a meta-GGA SCAN calculation of Sr3NbIn at its PBEsol-relaxed geometry, from Alexandria.

Cell lengths 6.132, 6.132, 6.132 Å; angles 90.00, 90.00, 90.00 degrees
Element x y z (fractional)
1 Sr 0.000 0.000 0.500
2 Sr 0.000 0.500 0.000
3 Sr 0.500 0.000 0.000
4 Nb 0.500 0.500 0.500
5 In 0.000 0.000 0.000

Calculated values
Energy of formation from the pure elements, eV per atom: 0.7141

---

# 3
The following is a meta-GGA SCAN calculation of BaAgO3 at its PBEsol-relaxed geometry, from Alexandria.

Cell lengths 4.109, 4.109, 4.109 Å; angles 90.00, 90.00, 90.00 degrees
Element x y z (fractional)
1 Ba 0.000 0.000 0.000
2 Ag 0.500 0.500 0.500
3 O 0.000 0.500 0.500
4 O 0.500 0.000 0.500
5 O 0.500 0.500 0.000

Calculated values
Energy relative to the elements, uncorrected, eV per atom: -1.233

---

# 4
The following is a meta-GGA SCAN calculation of CdNiW2 at its PBEsol-relaxed geometry, from Alexandria.

Cell lengths 5.221, 5.221, 2.662 Å; angles 97.41, 97.41, 119.98 degrees
Element x y z (fractional)
1 Cd 0.000 0.000 0.000
2 Ni 0.500 0.500 0.000
3 W 0.000 0.500 0.500
4 W 0.500 0.000 0.500

Calculated values
Energy of formation from the pure elements, eV per atom: 0.5683

---

# 5
The following is a meta-GGA SCAN calculation of Ce2HfS5 at its PBEsol-relaxed geometry, from Alexandria.

Cell lengths 11.045, 8.009, 7.161 Å; angles 90.00, 90.00, 90.00 degrees
Element x y z (fractional)
1 Ce 0.171 0.002 0.065
2 Ce 0.171 0.498 0.065
3 Ce 0.329 0.502 0.565
4 Ce 0.329 0.998 0.565
5 Ce 0.671 0.002 0.435
6 Ce 0.671 0.498 0.435
7 Ce 0.829 0.502 0.935
8 Ce 0.829 0.998 0.935
9 Hf 0.010 0.250 0.573
10 Hf 0.490 0.750 0.073
11 Hf 0.510 0.250 0.927
12 Hf 0.990 0.750 0.427
13 S 0.004 0.250 0.945
14 S 0.071 0.538 0.683
15 S 0.071 0.962 0.683
16 S 0.197 0.250 0.360
17 S 0.212 0.750 0.342
18 S 0.288 0.250 0.842
19 S 0.303 0.750 0.860
20 S 0.429 0.038 0.183
21 S 0.429 0.462 0.183
22 S 0.496 0.750 0.445
23 S 0.504 0.250 0.555
24 S 0.571 0.538 0.817
25 S 0.571 0.962 0.817
26 S 0.697 0.250 0.140
27 S 0.712 0.750 0.158
28 S 0.788 0.250 0.658
29 S 0.803 0.750 0.640
30 S 0.929 0.038 0.317
31 S 0.929 0.462 0.317
32 S 0.996 0.750 0.055

Calculated values
Energy relative to the elements, uncorrected, eV per atom: -2.129

---

# 6
The following is a meta-GGA SCAN calculation of Zn2Ag at its PBEsol-relaxed geometry, from Alexandria.

Cell lengths 3.900, 3.900, 11.893 Å; angles 99.33, 99.33, 89.93 degrees
Element x y z (fractional)
1 Zn 0.042 0.793 0.585
2 Zn 0.125 0.375 0.750
3 Zn 0.207 0.958 0.915
4 Zn 0.375 0.125 0.250
5 Zn 0.625 0.875 0.750
6 Zn 0.793 0.042 0.085
7 Zn 0.875 0.625 0.250
8 Zn 0.958 0.207 0.415
9 Ag 0.294 0.544 0.088
10 Ag 0.456 0.706 0.412
11 Ag 0.544 0.294 0.588
12 Ag 0.706 0.456 0.912

Calculated values
Energy of formation from the pure elements, eV per atom: -0.0055

---

# 7
The following is a meta-GGA SCAN calculation of LaTcS2N at its PBEsol-relaxed geometry, from Alexandria.

Cell lengths 4.780, 4.780, 3.755 Å; angles 90.00, 90.00, 90.00 degrees
Element x y z (fractional)
1 La 0.000 0.000 0.000
2 Tc 0.500 0.500 0.500
3 S 0.000 0.500 0.500
4 S 0.500 0.000 0.500
5 N 0.500 0.500 0.000

Calculated values
Energy relative to the elements, uncorrected, eV per atom: -1.086

---

# 8
The following is a meta-GGA SCAN calculation of ZrGeSO2 at its PBEsol-relaxed geometry, from Alexandria.

Cell lengths 3.925, 3.925, 6.381 Å; angles 90.00, 90.00, 90.00 degrees
Element x y z (fractional)
1 Zr 0.000 0.000 0.000
2 Ge 0.000 0.000 0.500
3 S 0.500 0.500 0.500
4 O 0.000 0.500 0.000
5 O 0.500 0.000 0.000

Calculated values
Energy relative to the elements, uncorrected, eV per atom: -1.330